# 1
First-principles (PBE) data for crystalline Y4ErIn2 at its relaxed geometry, as listed in Alexandria.

**E**: -5.25 eV/atom
**E_form**: -0.12 eV per atom
**ΔE to the lowest computed polymorph**: 7 meV per atom
**Density**: 5.8 g/cm3

Cell lengths 6.3399, 10.6269, 6.9771 Å; angles 90.00, 114.01, 90.00 degrees
With the nearest neighbours (Å) after each atom.
Space group P2_1/c (No. 14)
Symmetry-distinct sites (fractional):
Y (0.0051, 0.1663, 0.9998) [4 per cell]  2 In 3.23-3.26, 3 Y 3.40-3.54, 1 Er 3.55
Y (0.4941, 0.7171, 0.9983) [4 per cell]  4 In 3.09-3.34, 2 Y 3.40
Er (0.0000, 0.0000, 0.5000) [2 per cell]  2 In 3.17, 2 Y 3.55
In (0.4694, 0.5011, 0.6926) [4 per cell]  1 In 2.87, 2 Y 3.09-3.11, 1 Er 3.17

***

# 2
First-principles (PBE) data for crystalline TlGa2Sn at its relaxed geometry, as listed in Alexandria.

**E**: -3.01 eV/atom
**E_form**: 0.09 eV per atom
**ΔE to the lowest computed polymorph**: 40 meV per atom
**Density**: 7.1 g/cm3

Cell lengths 4.5572, 4.5572, 18.1649 Å; angles 90.00, 90.00, 120.00 degrees
With the nearest neighbours (Å) after each atom.
Space group R3m (No. 160, hexagonal axes)
Symmetry-distinct sites (fractional):
Tl (0.0000, 0.0000, 0.0000) [3 per cell]  6 Ga 3.10-3.29, 1 Sn 3.34
Ga (0.0000, 0.0000, 0.2247) [3 per cell]  3 Sn 2.97, 3 Tl 3.29
Ga (0.0000, 0.0000, 0.4238) [3 per cell]  3 Sn 2.84, 3 Tl 3.10
Sn (0.0000, 0.0000, 0.8160) [3 per cell]  6 Ga 2.84-2.97

***

# 3
First-principles (PBE) data for crystalline Y2TlSnRh at its relaxed geometry, as listed in Alexandria.

**E**: -5.68 eV/atom
**E_form**: -0.35 eV per atom
**Density**: 6.9 g/cm3

Cell lengths 5.3012, 5.3012, 5.1398 Å; angles 90.00, 90.00, 90.00 degrees
With the nearest neighbours (Å) after each atom.
Space group P4/mmm (No. 123)
Symmetry-distinct sites (fractional):
Y (0.0000, 0.5000, 0.0000) [2 per cell]  2 Rh 2.65
Tl (0.0000, 0.0000, 0.5000) [1 per cell]  2 Rh 2.57
Sn (0.5000, 0.5000, 0.5000) [1 per cell]  8 Y 3.69, 4 Tl 3.75
Rh (0.0000, 0.0000, 0.0000) [1 per cell]  2 Tl 2.57, 4 Y 2.65

***

# 4
First-principles (PBE) data for crystalline MnP3 at its relaxed geometry, as listed in Alexandria.

**E**: -6.38 eV/atom
**E_form**: -0.03 eV per atom
**ΔE to the lowest computed polymorph**: 133 meV per atom
**Density**: 4.5 g/cm3

Cell lengths 3.2772, 4.1386, 4.5219 Å; angles 68.41, 83.87, 75.21 degrees
With the nearest neighbours (Å) after each atom.
Space group P1 (No. 1)
Symmetry-distinct sites (fractional):
Mn (0.0000, 0.0000, 0.0000) [1 per cell]  7 P 2.27-2.49
P (0.3307, 0.4693, 0.8743) [1 per cell]  1 P 2.27, 3 Mn 2.32-2.49
P (0.5245, 0.6840, 0.3551) [1 per cell]  2 P 2.19-2.27, 2 Mn 2.27-2.38
P (0.8397, 0.1177, 0.4690) [1 per cell]  1 P 2.19, 2 Mn 2.32-2.36

***

# 5
First-principles (PBE) data for crystalline ScHg at its relaxed geometry, as listed in Alexandria.

**E**: -3.60 eV/atom
**E_form**: -0.28 eV per atom
**Density**: 9.0 g/cm3

Cell lengths 5.6643, 5.6643, 5.6643 Å; angles 90.00, 90.00, 90.00 degrees
With the nearest neighbours (Å) after each atom.
Space group P2_13 (No. 198)
Symmetry-distinct sites (fractional):
Sc (0.0834, 0.0834, 0.0834) [4 per cell]  7 Hg 2.97-3.24
Hg (0.0867, 0.5867, 0.9133) [4 per cell]  7 Sc 2.97-3.24

***

# 6
First-principles (PBE) data for crystalline BeTePt at its relaxed geometry, as listed in Alexandria.

**E**: -4.73 eV/atom
**Density**: 9.7 g/cm3

Cell lengths 3.2522, 4.1707, 9.2002 Å; angles 98.25, 90.86, 112.87 degrees
With the nearest neighbours (Å) after each atom.
Space group P-1 (No. 2)
Symmetry-distinct sites (fractional):
Be (0.1321, 0.2692, 0.4585) [2 per cell]  3 Be 2.32-2.44, 5 Pt 2.35-2.49
Te (0.3476, 0.6720, 0.8182) [2 per cell]  3 Pt 2.77-2.82, 2 Be 3.05-3.06
Pt (0.3943, 0.7995, 0.3615) [2 per cell]  5 Be 2.35-2.49

***

# 7
First-principles (PBE) data for crystalline Ca2BiB2 at its relaxed geometry, as listed in Alexandria.

**E**: -3.73 eV/atom
**E_form**: 0.52 eV per atom
**ΔE to the lowest computed polymorph**: 0 meV per atom
**Density**: 5.0 g/cm3

Cell lengths 3.3407, 3.3407, 18.3753 Å; angles 90.00, 90.00, 90.00 degrees
With the nearest neighbours (Å) after each atom.
Space group I4/mmm (No. 139)
Symmetry-distinct sites (fractional):
Ca (0.0000, 0.0000, 0.1339) [4 per cell]  4 B 2.71
Bi (0.0000, 0.0000, 0.5000) [2 per cell]  4 Bi 3.34, 8 Ca 3.41
B (0.0000, 0.5000, 0.2500) [4 per cell]  4 B 2.36

***

# 8
First-principles (PBE) data for crystalline Li2PaBiO6 at its relaxed geometry, as listed in Alexandria.

**E**: -6.88 eV/atom
**Density**: 7.0 g/cm3

Cell lengths 5.4271, 5.4271, 15.3060 Å; angles 90.00, 90.00, 120.00 degrees
With the nearest neighbours (Å) after each atom.
Space group R-3 (No. 148, hexagonal axes)
Symmetry-distinct sites (fractional):
Li (0.0000, 0.0000, 0.2149) [6 per cell]  3 O 2.00
Pa (0.0000, 0.0000, 0.0000) [3 per cell]  6 O 2.18
Bi (0.0000, 0.0000, 0.5000) [3 per cell]  6 O 2.15
O (0.0062, 0.6455, 0.7544) [18 per cell]  1 Li 2.00, 1 Bi 2.15, 1 Pa 2.18

***

Which of these has the highest E?
TlGa2Sn

***

Number 1 is which compound?
Y4ErIn2